# 1
Computed, not measured: an optimized crystal structure of TaPbS3 at the PBEsol level of DFT.

Computed properties:
Spin magnetization ... 0.4512 μB per atom
Formation energy (no corrections) ... 1.24 eV per atom
Calculated total energy ... -23.5 eV for the cell shown
DOS(E_F) ... 3.6 states/eV/f.u.

Lattice parameters (Å, degrees): 4.9423 4.9423 4.9423 90.00 90.00 90.00
Element x y z (fractional)
Ta  0.0000  0.0000  0.0000
Pb  0.5000  0.5000  0.5000
S  0.0000  0.5000  0.5000
S  0.5000  0.0000  0.5000
S  0.5000  0.5000  0.0000



# 2
Computed, not measured: an optimized crystal structure of TePb2S at the PBEsol level of DFT.

Computed properties:
Spin magnetization ... 0.0000 μB per atom
Formation energy (no corrections) ... -0.43 eV per atom
Offset from the most stable computed form ... 0 meV per atom
Calculated total energy ... -17.6 eV for the cell shown

Lattice parameters (Å, degrees): 7.5282 7.5282 7.5282 33.59 33.59 33.59
Element x y z (fractional)
Te  0.0000  0.0000  0.0000
Pb  0.2412  0.2412  0.2412
Pb  0.7588  0.7588  0.7588
S  0.5000  0.5000  0.5000